First-principles (PBE-GGA) data for a relaxed structure of Pm4Sb3As, as listed in Alexandria.

POSCAR file:
```
Pm4Sb3As
1.0
-2.522 -0.219 3.630
-0.884 -7.554 -1.071
6.188 1.248 4.375
Pm Sb As
4 3 1
direct
0.500 0.756 0.244
0.000 0.761 0.761
0.000 0.239 0.239
0.500 0.244 0.756
0.500 0.500 0.500
0.000 0.000 0.500
0.000 0.500 0.000
0.500 0.000 0.000
```

Computed properties:
M_tot   0.00 μB per formula unit
Energy   -5.76 eV per atom
Calculated volume   246.3 Å³ per cell
N(E_F)   0.13 states/eV/atom
Symmetry   Cmmm (65)
E_form (uncorrected)   -968 kJ/mol of formula units